! CaYIn PBE relaxed; values from VASP
! - Mass density: 4.40 g/cm³
! - E_form: -0.289 eV per atom
! - D(E_F): 0.7575 states/eV per atom
&SYSTEM
  ibrav = 0, nat = 6, ntyp = 3
/
ATOMIC_SPECIES
In 114.82 In.upf
Y 88.91 Y.upf
Ca 40.08 Ca.upf
ATOMIC_POSITIONS crystal
In 0.535 0.309 0.607
Y 0.140 0.992 0.002
Ca 0.221 0.401 0.921
In 0.830 0.065 0.312
Ca 0.861 0.575 0.280
Y 0.490 0.821 0.651
CELL_PARAMETERS angstrom
-5.497 -3.218 0.019
0.548 -6.872 0.662
2.935 3.448 4.481

! CaYIn3 PBE relaxed; values from VASP
! - Mass density: 4.12 g/cm³
! - E_form: 0.268 eV per atom
! - D(E_F): 1.0906 states/eV per atom
&SYSTEM
  ibrav = 0, nat = 5, ntyp = 3
/
ATOMIC_SPECIES
In 114.82 In.upf
Y 88.91 Y.upf
Ca 40.08 Ca.upf
ATOMIC_POSITIONS crystal
In 0.000 0.500 0.000
Y 0.000 0.000 0.000
In 0.500 0.000 0.000
In 0.000 0.000 0.500
Ca 0.500 0.500 0.500
CELL_PARAMETERS angstrom
5.759 0.000 0.000
0.000 5.759 0.000
0.000 0.000 5.759

In the order shown, the computed size of the total moment values come out to 0.0; 0.4 μB/f.u..
In the order shown, the computed polymorph energy (0 for the lowest one) values come out to 115; 0 meV/atom.